Entry from Alexandria: CdNiPt2 after structural relaxation (PBE).

a = 2.8347 Å, b = 2.8347 Å, c = 26.7963 Å
α = 90.00°, β = 90.00°, γ = 120.00°
Space group R-3m (No. 166, hexagonal axes)
One atom of each set of equivalent atoms:
Cd 0.0000 0.0000 0.0000
Ni 0.0000 0.0000 0.5000
Pt 0.0000 0.0000 0.2431

Summary:
Total energy   -57.4 eV for the cell shown
Theoretical density   15.0 Mg/m³

***

Entry from Alexandria: CdNi2Pt after structural relaxation (PBE).

a = 3.991 Å, b = 3.991 Å, c = 7.168 Å
α = 90.00°, β = 90.00°, γ = 90.00°
Space group I4/mmm (No. 139)
One atom of each set of equivalent atoms:
Cd 0.000 0.000 0.000
Ni 0.000 0.500 0.250
Pt 0.000 0.000 0.500

Summary:
Total energy   -37.2 eV for the cell shown
Theoretical density   12.4 Mg/m³

***

Entry from Alexandria: Cd2Ni2Pt after structural relaxation (PBE).

a = 6.420 Å, b = 6.420 Å, c = 3.911 Å
α = 90.00°, β = 90.00°, γ = 90.00°
Space group P4/mbm (No. 127)
One atom of each set of equivalent atoms:
Cd 0.175 0.325 0.000
Ni 0.126 0.626 0.500
Pt 0.000 0.000 0.500

Summary:
Distance to the lowest polymorph of the same formula   0.0 meV/atom
Theoretical density   11.1 Mg/m³

***

Entry from Alexandria: CdNiPt2 after structural relaxation (PBE).

a = 2.8163 Å, b = 2.8163 Å, c = 27.0622 Å
α = 90.00°, β = 90.00°, γ = 120.00°
Space group R3m (No. 160, hexagonal axes)
One atom of each set of equivalent atoms:
Cd 0.0000 0.0000 0.0000
Ni 0.0000 0.0000 0.7481
Pt 0.0000 0.0000 0.2446
Pt 0.0000 0.0000 0.4901

Summary:
Total energy   -56.6 eV for the cell shown
Theoretical density   15.0 Mg/m³

***

Entry from Alexandria: Cd3NiPt4 after structural relaxation (PBE).

a = 4.147 Å, b = 4.147 Å, c = 15.416 Å
α = 90.00°, β = 90.00°, γ = 90.00°
Space group I4/mmm (No. 139)
One atom of each set of equivalent atoms:
Cd 0.000 0.000 0.000
Cd 0.000 0.000 0.250
Ni 0.000 0.000 0.500
Pt 0.000 0.500 0.119

Summary:
Total energy   -68.9 eV for the cell shown
Theoretical density   14.7 Mg/m³

***

Entry from Alexandria: CdNiPt2 after structural relaxation (PBE).

a = 4.003 Å, b = 4.003 Å, c = 7.771 Å
α = 90.00°, β = 90.00°, γ = 90.00°
Space group I4/mmm (No. 139)
One atom of each set of equivalent atoms:
Cd 0.000 0.000 0.000
Ni 0.000 0.000 0.500
Pt 0.000 0.500 0.250

Summary:
Total energy   -38.5 eV for the cell shown
Theoretical density   15.0 Mg/m³

***

Entry from Alexandria: Cd2NiPt after structural relaxation (PBE).

a = 2.927 Å, b = 4.396 Å, c = 5.464 Å
α = 90.00°, β = 104.43°, γ = 90.00°
Space group Pm (No. 6)
One atom of each set of equivalent atoms:
Cd 0.000 0.000 0.000
Cd 0.308 0.500 0.660
Ni 0.596 0.500 0.189
Pt 0.712 0.000 0.460

Summary:
Total energy   -14.0 eV for the cell shown
Theoretical density   11.7 Mg/m³

***

Entry from Alexandria: Cd3NiPt12 after structural relaxation (PBE).

a = 4.001 Å, b = 4.001 Å, c = 16.064 Å
α = 90.00°, β = 90.00°, γ = 90.00°
Space group P4/mmm (No. 123)
One atom of each set of equivalent atoms:
Cd 0.000 0.000 0.000
Cd 0.000 0.000 0.255
Ni 0.000 0.000 0.500
Pt 0.000 0.500 0.128
Pt 0.000 0.500 0.384
Pt 0.500 0.500 0.000
Pt 0.500 0.500 0.256
Pt 0.500 0.500 0.500

Summary:
Total energy   -83.5 eV for the cell shown
Theoretical density   17.7 Mg/m³

***

Number 6 is which compound?
CdNiPt2

***

Repeat the fourth record exactly.
Entry from Alexandria: CdNiPt2 after structural relaxation (PBE).

a = 2.8163 Å, b = 2.8163 Å, c = 27.0622 Å
α = 90.00°, β = 90.00°, γ = 120.00°
Space group R3m (No. 160, hexagonal axes)
One atom of each set of equivalent atoms:
Cd 0.0000 0.0000 0.0000
Ni 0.0000 0.0000 0.7481
Pt 0.0000 0.0000 0.2446
Pt 0.0000 0.0000 0.4901

Summary:
Total energy   -56.6 eV for the cell shown
Theoretical density   15.0 Mg/m³